<A>
{"formula": "Cr2CF", "functional": "PBE+U", "state": "relaxed", "rho_g_cm3": 5.1, "m_tot_mub_per_atom": 1.75, "lattice_angstrom": [[0.000, 2.792, 2.792], [2.792, 0.000, 2.792], [2.792, 2.792, 0.000]], "species": ["Cr", "Cr", "C", "F"], "fractional_positions": [[0.250, 0.250, 0.250], [0.750, 0.750, 0.750], [0.000, 0.000, 0.000], [0.500, 0.500, 0.500]]}



<B>
{"formula": "Cr2CF", "functional": "PBE+U", "state": "relaxed", "rho_g_cm3": 4.2, "m_tot_mub_per_atom": 1.75, "lattice_angstrom": [[-2.741, 2.741, 3.586], [2.741, -2.741, 3.586], [2.741, 2.741, -3.586]], "species": ["Cr", "Cr", "Cr", "Cr", "C", "C", "F", "F"], "fractional_positions": [[0.084, 0.625, 0.959], [0.375, 0.334, 0.459], [0.666, 0.125, 0.041], [0.875, 0.916, 0.541], [0.000, 0.000, 0.000], [0.750, 0.250, 0.500], [0.250, 0.750, 0.500], [0.500, 0.500, 0.000]]}



Preferred: <B>; penalty for the next structure: 31.2 kJ/mol of atoms.



<A>
{"formula": "CrCN2F", "functional": "PBE+U", "state": "relaxed", "rho_g_cm3": 3.2, "m_tot_mub_per_atom": 0.24, "lattice_angstrom": [[3.835, 0.000, 0.000], [0.000, 3.835, 0.000], [0.000, 0.000, 3.870]], "species": ["Cr", "C", "N", "N", "F"], "fractional_positions": [[0.000, 0.000, 0.000], [0.500, 0.500, 0.500], [0.000, 0.500, 0.000], [0.500, 0.000, 0.000], [0.000, 0.000, 0.500]]}



<B>
{"formula": "CrCN2F", "functional": "PBE+U", "state": "relaxed", "rho_g_cm3": 3.7, "m_tot_mub_per_atom": 0.89, "lattice_angstrom": [[3.065, 0.000, 0.000], [0.000, 3.065, 0.000], [0.000, 0.000, 5.314]], "species": ["Cr", "C", "N", "N", "F"], "fractional_positions": [[0.000, 0.000, 0.000], [0.500, 0.500, 0.500], [0.000, 0.500, 0.500], [0.500, 0.000, 0.500], [0.500, 0.500, 0.000]]}



Preferred: <B>; penalty for the next structure: 47.1 kJ/mol of atoms.